# 1
Compound: Cu11Sb3
Source: the Alexandria database
Functional: GGA-PBE
Structure: relaxed

Unit cell a=4.331 b=9.977 c=9.977 alpha=152.05 beta=90.00 gamma=90.00
Fractional positions:
Cu1 0.000 0.000 0.000
Cu2 0.000 0.232 0.661
Cu3 0.000 0.372 0.520
Cu4 0.000 0.520 0.372
Cu5 0.000 0.661 0.232
Cu6 0.500 0.069 0.215
Cu7 0.500 0.215 0.069
Cu8 0.500 0.352 0.912
Cu9 0.500 0.440 0.738
Cu10 0.500 0.738 0.440
Cu11 0.500 0.912 0.352
Sb1 0.000 0.092 0.803
Sb2 0.000 0.803 0.092
Sb3 0.500 0.632 0.632

Electronic total energy, eV per atom: -4.038
Formation energy (no corrections), eV per atom: 0.063
SG: No. 38
Volume, Å³/atom: 14.434

=====

# 2
Compound: La5Pm4Nd
Source: the Alexandria database
Functional: GGA-PBE
Structure: relaxed

Unit cell a=4.340 b=4.340 c=19.018 alpha=90.00 beta=90.00 gamma=90.00
Fractional positions:
La1 0.000 0.000 0.000
La2 0.000 0.000 0.200
La3 0.000 0.000 0.399
La4 0.000 0.000 0.601
La5 0.000 0.000 0.800
Pm1 0.500 0.500 0.100
Pm2 0.500 0.500 0.300
Pm3 0.500 0.500 0.700
Pm4 0.500 0.500 0.900
Nd1 0.500 0.500 0.500

Electronic total energy, eV per atom: -4.746
SG: No. 123
Volume, Å³/atom: 35.821

=====

# 3
Compound: Y2ZnNi
Source: the Alexandria database
Functional: GGA-PBE
Structure: relaxed

Unit cell a=3.408 b=4.679 c=10.742 alpha=90.00 beta=90.00 gamma=90.00
Fractional positions:
Y1 0.000 0.000 0.000
Y2 0.000 0.500 0.211
Y3 0.500 0.000 0.711
Y4 0.500 0.500 0.500
Zn1 0.000 0.500 0.801
Zn2 0.500 0.000 0.301
Ni1 0.000 0.000 0.480
Ni2 0.500 0.500 0.980

Electronic total energy, eV per atom: -5.224
SG: No. 44
Volume, Å³/atom: 21.414

=====

# 4
Compound: CaAuSe2
Source: the Alexandria database
Functional: GGA-PBE
Structure: relaxed

Unit cell a=7.072 b=7.072 c=7.072 alpha=90.00 beta=90.00 gamma=90.00
Fractional positions:
Ca1 0.000 0.000 0.000
Ca2 0.000 0.500 0.500
Ca3 0.500 0.000 0.500
Ca4 0.500 0.500 0.000
Au1 0.000 0.000 0.500
Au2 0.000 0.500 0.000
Au3 0.500 0.000 0.000
Au4 0.500 0.500 0.500
Se1 0.250 0.250 0.250
Se2 0.250 0.250 0.750
Se3 0.250 0.750 0.250
Se4 0.250 0.750 0.750
Se5 0.750 0.250 0.250
Se6 0.750 0.250 0.750
Se7 0.750 0.750 0.250
Se8 0.750 0.750 0.750

Electronic total energy, eV per atom: -3.657
Formation energy (no corrections), eV per atom: -0.595
SG: No. 225
Volume, Å³/atom: 22.105

=====

# 5
Compound: Sm2Si3NiIr4
Source: the Alexandria database
Functional: GGA-PBE
Structure: relaxed

Unit cell a=4.127 b=4.127 c=10.030 alpha=90.00 beta=90.00 gamma=90.00
Fractional positions:
Sm1 0.000 0.500 0.246
Sm2 0.500 0.000 0.754
Si1 0.000 0.000 0.000
Si2 0.000 0.500 0.629
Si3 0.500 0.000 0.371
Ni1 0.500 0.500 0.000
Ir1 0.000 0.000 0.500
Ir2 0.000 0.500 0.867
Ir3 0.500 0.000 0.133
Ir4 0.500 0.500 0.500

Electronic total energy, eV per atom: -7.610
Formation energy (no corrections), eV per atom: -0.917
SG: No. 115
Volume, Å³/atom: 17.087

=====

# 6
Compound: ReSiSe2
Source: the Alexandria database
Functional: GGA-PBE
Structure: relaxed

Unit cell a=3.085 b=4.496 c=4.782 alpha=90.00 beta=90.00 gamma=90.00
Fractional positions:
Re1 0.000 0.000 0.000
Si1 0.500 0.000 0.500
Se1 0.000 0.500 0.500
Se2 0.500 0.500 0.000

Electronic total energy, eV per atom: -5.357
Formation energy (no corrections), eV per atom: 0.853
SG: No. 47
Volume, Å³/atom: 16.584

=====

> What is the formula in the third record?

Y2ZnNi